Record 1
LiYTlHg | PBE-GGA | relaxed

Computed properties:
D(E_F) (states/eV/f.u.): 2.84
ΔH_f (0 K) (eV per formula unit): -1.6
Electronic total energy (eV per formula unit): -12.62

Lattice parameters (Å, degrees): 7.210 7.210 7.210 90.00 90.00 90.00
Space group F-43m (No. 216)
Symmetry-distinct sites (fractional):
Li 0.000 0.000 0.000 (multiplicity 4)
Y 0.000 0.000 0.500 (multiplicity 4)
Tl 0.250 0.250 0.750 (multiplicity 4)
Hg 0.250 0.250 0.250 (multiplicity 4)

Record 2
ErNp2CuSe5 | PBE-GGA | relaxed

Computed properties:
D(E_F) (states/eV/f.u.): 18.04
Electronic total energy (eV per formula unit): -62.56
ΔE_f (raw) (eV per atom): -1.178

Lattice parameters (Å, degrees): 3.951 17.117 12.244 90.00 90.00 90.00
Space group Cmc2_1 (No. 36)
Symmetry-distinct sites (fractional):
Er 0.000 0.179 0.000 (multiplicity 4)
Np 0.000 0.107 0.322 (multiplicity 4)
Np 0.000 0.119 0.668 (multiplicity 4)
Cu 0.000 0.445 0.399 (multiplicity 4)
Se 0.000 0.014 0.996 (multiplicity 4)
Se 0.000 0.304 0.665 (multiplicity 4)
Se 0.000 0.310 0.332 (multiplicity 4)
Se 0.000 0.345 0.993 (multiplicity 4)
Se 0.000 0.497 0.722 (multiplicity 4)

Record 3
ReHRh2W | PBE-GGA | relaxed

Computed properties:
D(E_F) (states/eV/f.u.): 2.48
Electronic total energy (eV per formula unit): -43.72
Energy relative to the lowest polymorph listed for this composition (kJ/mol of atoms): 0.00

Lattice parameters (Å, degrees): 3.869 3.869 4.073 90.00 90.00 90.00
Space group P4/mmm (No. 123)
Symmetry-distinct sites (fractional):
Re 0.000 0.000 0.000 (multiplicity 1)
H 0.000 0.000 0.500 (multiplicity 1)
Rh 0.000 0.500 0.500 (multiplicity 2)
W 0.500 0.500 0.000 (multiplicity 1)

Record 4
Cs2MgAsCl6 | PBE-GGA | relaxed

Computed properties:
D(E_F) (states/eV/f.u.): 1.75
Electronic total energy (eV per formula unit): -33.00
ΔE_f (raw) (eV per atom): -1.397

Lattice parameters (Å, degrees): 7.547 7.547 10.342 90.00 90.00 90.00
Space group I4/mmm (No. 139)
Symmetry-distinct sites (fractional):
Cs 0.000 0.500 0.250 (multiplicity 4)
Mg 0.000 0.000 0.000 (multiplicity 2)
As 0.000 0.000 0.500 (multiplicity 2)
Cl 0.000 0.000 0.259 (multiplicity 4)
Cl 0.235 0.235 0.000 (multiplicity 8)

Record 5
Ag3BiMo | PBE-GGA | relaxed

Computed properties:
D(E_F) (states/eV/f.u.): 5.64
ΔH_f (0 K) (eV per formula unit): 6.9
Electronic total energy (eV per formula unit): -16.33
Energy relative to the lowest polymorph listed for this composition (kJ/mol of atoms): 1.05

Lattice parameters (Å, degrees): 5.095 5.095 5.095 90.00 90.00 90.00
Space group Pm-3m (No. 221)
Symmetry-distinct sites (fractional):
Ag 0.000 0.000 0.500 (multiplicity 3)
Bi 0.500 0.500 0.500 (multiplicity 1)
Mo 0.000 0.000 0.000 (multiplicity 1)

Record 6
NaSr2Cd | PBE-GGA | relaxed

Computed properties:
D(E_F) (states/eV/f.u.): 4.05
ΔH_f (0 K) (eV per formula unit): -0.5
Electronic total energy (eV per formula unit): -6.09

Lattice parameters (Å, degrees): 6.002 6.002 4.198 90.00 90.00 90.00
Space group P4/mmm (No. 123)
Symmetry-distinct sites (fractional):
Na 0.000 0.000 0.000 (multiplicity 1)
Sr 0.000 0.500 0.500 (multiplicity 2)
Cd 0.500 0.500 0.000 (multiplicity 1)

Record 7
PrHo3P | PBE-GGA | relaxed

Computed properties:
D(E_F) (states/eV/f.u.): 8.41
ΔH_f (0 K) (eV per formula unit): -2.1
Electronic total energy (eV per formula unit): -26.02

Lattice parameters (Å, degrees): 5.380 5.380 5.380 90.00 90.00 90.00
Space group Pm-3m (No. 221)
Symmetry-distinct sites (fractional):
Pr 0.000 0.000 0.000 (multiplicity 1)
Ho 0.000 0.500 0.500 (multiplicity 3)
P 0.500 0.500 0.500 (multiplicity 1)

Record 8
Nd5Dy6Ho | PBE-GGA | relaxed

Computed properties:
D(E_F) (states/eV/f.u.): 15.93
ΔH_f (0 K) (eV per formula unit): 0.2
Electronic total energy (eV per formula unit): -55.82
Energy relative to the lowest polymorph listed for this composition (kJ/mol of atoms): 0.38

Lattice parameters (Å, degrees): 5.097 10.138 15.292 90.00 90.00 90.00
Space group Immm (No. 71)
Symmetry-distinct sites (fractional):
Nd 0.000 0.000 0.000 (multiplicity 2)
Nd 0.000 0.000 0.335 (multiplicity 4)
Nd 0.000 0.500 0.333 (multiplicity 4)
Dy 0.000 0.248 0.500 (multiplicity 4)
Dy 0.000 0.251 0.166 (multiplicity 8)
Ho 0.000 0.500 0.000 (multiplicity 2)

Record 9
Cd7Hg | PBE-GGA | relaxed

Computed properties:
D(E_F) (states/eV/f.u.): 3.66
ΔH_f (0 K) (eV per formula unit): 0.1
Electronic total energy (eV per formula unit): -6.58

Lattice parameters (Å, degrees): 9.010 9.010 9.010 90.00 90.00 90.00
Space group Fm-3m (No. 225)
Symmetry-distinct sites (fractional):
Cd 0.000 0.000 0.000 (multiplicity 4)
Cd 0.000 0.250 0.250 (multiplicity 24)
Hg 0.000 0.000 0.500 (multiplicity 4)

Record 10
Sr2HfMnCl | PBE-GGA | relaxed

Computed properties:
D(E_F) (states/eV/f.u.): 4.16
Electronic total energy (eV per formula unit): -22.19
ΔE_f (raw) (eV per atom): 0.428

Lattice parameters (Å, degrees): 6.451 6.451 4.518 90.00 90.00 90.00
Space group P4/mmm (No. 123)
Symmetry-distinct sites (fractional):
Sr 0.000 0.500 0.000 (multiplicity 2)
Hf 0.000 0.000 0.000 (multiplicity 1)
Mn 0.000 0.000 0.500 (multiplicity 1)
Cl 0.500 0.500 0.500 (multiplicity 1)

Record 11
TbTaGa | PBE-GGA | relaxed

Computed properties:
D(E_F) (states/eV/f.u.): 2.06
ΔH_f (0 K) (eV per formula unit): -1.0
Electronic total energy (eV per formula unit): -20.52

Lattice parameters (Å, degrees): 4.057 4.057 8.064 90.00 90.00 90.00
Space group P4/nmm (No. 129, origin choice 2)
Symmetry-distinct sites (fractional):
Tb 0.250 0.250 0.161 (multiplicity 2)
Ta 0.250 0.750 0.500 (multiplicity 2)
Ga 0.250 0.250 0.745 (multiplicity 2)

Record 12
Tl2FeAs | PBE-GGA | relaxed

Computed properties:
D(E_F) (states/eV/f.u.): 4.17
ΔH_f (0 K) (eV per formula unit): 2.4
Electronic total energy (eV per formula unit): -15.42
Energy relative to the lowest polymorph listed for this composition (kJ/mol of atoms): 43.18

Lattice parameters (Å, degrees): 10.759 3.117 5.595 90.00 106.96 90.00
Space group C2/m (No. 12)
Symmetry-distinct sites (fractional):
Tl 0.230 0.000 0.236 (multiplicity 4)
Fe 0.000 0.500 0.000 (multiplicity 2)
As 0.000 0.000 0.500 (multiplicity 2)

Record 13
LaInNi3 | PBE-GGA | relaxed

Computed properties:
D(E_F) (states/eV/f.u.): 4.13
ΔH_f (0 K) (eV per formula unit): 4.9
Electronic total energy (eV per formula unit): -20.13
Energy relative to the lowest polymorph listed for this composition (kJ/mol of atoms): 61.48

Lattice parameters (Å, degrees): 4.782 4.782 4.782 90.00 90.00 90.00
Space group Pm-3m (No. 221)
Symmetry-distinct sites (fractional):
La 0.000 0.000 0.000 (multiplicity 1)
In 0.500 0.500 0.500 (multiplicity 1)
Ni 0.000 0.000 0.500 (multiplicity 3)

Record 14
CaGeBi | PBE-GGA | relaxed

Computed properties:
D(E_F) (states/eV/f.u.): 1.41
ΔH_f (0 K) (eV per formula unit): -1.3
Electronic total energy (eV per formula unit): -11.81
Energy relative to the lowest polymorph listed for this composition (kJ/mol of atoms): 0.00

Lattice parameters (Å, degrees): 4.325 18.538 4.101 90.00 90.00 90.00
Space group Cmcm (No. 63)
Symmetry-distinct sites (fractional):
Ca 0.000 0.094 0.250 (multiplicity 4)
Ge 0.000 0.458 0.250 (multiplicity 4)
Bi 0.000 0.294 0.250 (multiplicity 4)

Record 15
CeMgAu2 | PBE-GGA | relaxed

Computed properties:
D(E_F) (states/eV/f.u.): 6.87
ΔH_f (0 K) (eV per formula unit): -2.6
Electronic total energy (eV per formula unit): -16.72

Lattice parameters (Å, degrees): 7.081 7.081 7.081 90.00 90.00 90.00
Space group Fm-3m (No. 225)
Symmetry-distinct sites (fractional):
Ce 0.000 0.000 0.000 (multiplicity 4)
Mg 0.000 0.000 0.500 (multiplicity 4)
Au 0.250 0.250 0.250 (multiplicity 8)

Record 16
LaNdDyHo | PBE-GGA | relaxed

Computed properties:
D(E_F) (states/eV/f.u.): 7.46
ΔH_f (0 K) (eV per formula unit): 0.4
Electronic total energy (eV per formula unit): -18.47
Energy relative to the lowest polymorph listed for this composition (kJ/mol of atoms): 0.00

Lattice parameters (Å, degrees): 8.162 8.162 8.162 90.00 90.00 90.00
Space group F-43m (No. 216)
Symmetry-distinct sites (fractional):
La 0.000 0.000 0.000 (multiplicity 4)
Nd 0.000 0.000 0.500 (multiplicity 4)
Dy 0.250 0.250 0.750 (multiplicity 4)
Ho 0.250 0.250 0.250 (multiplicity 4)

Record 17
ScUPb2O6 | PBE-GGA | relaxed

Computed properties:
Electronic total energy (eV per formula unit): -79.48
ΔE_f (raw) (eV per atom): -2.470

Lattice parameters (Å, degrees): 5.931 5.965 10.290 90.00 125.13 90.00
Space group P2_1/c (No. 14)
Symmetry-distinct sites (fractional):
Sc 0.000 0.000 0.000 (multiplicity 2)
U 0.500 0.000 0.500 (multiplicity 2)
Pb 0.244 0.023 0.749 (multiplicity 4)
O 0.171 0.211 0.463 (multiplicity 4)
O 0.248 0.710 0.460 (multiplicity 4)
O 0.324 0.014 0.249 (multiplicity 4)

Record 18
MgZr2H | PBE-GGA | relaxed

Computed properties:
D(E_F) (states/eV/f.u.): 1.95
Electronic total energy (eV per formula unit): -19.77
Energy relative to the lowest polymorph listed for this composition (kJ/mol of atoms): 63.95

Lattice parameters (Å, degrees): 6.629 6.629 6.629 90.00 90.00 90.00
Space group Fm-3m (No. 225)
Symmetry-distinct sites (fractional):
Mg 0.000 0.000 0.000 (multiplicity 4)
Zr 0.250 0.250 0.250 (multiplicity 8)
H 0.000 0.000 0.500 (multiplicity 4)

Record 19
CeNd3Ag4 | PBE-GGA | relaxed

Computed properties:
D(E_F) (states/eV/f.u.): 13.32
ΔH_f (0 K) (eV per formula unit): -1.6
Electronic total energy (eV per formula unit): -33.25

Lattice parameters (Å, degrees): 3.733 3.733 15.128 90.00 90.00 90.00
Space group P4/mmm (No. 123)
Symmetry-distinct sites (fractional):
Ce 0.000 0.000 0.000 (multiplicity 1)
Nd 0.000 0.000 0.250 (multiplicity 2)
Nd 0.000 0.000 0.500 (multiplicity 1)
Ag 0.500 0.500 0.127 (multiplicity 2)
Ag 0.500 0.500 0.375 (multiplicity 2)

Record 20
RbSnPd2Cl | PBE-GGA | relaxed

Computed properties:
D(E_F) (states/eV/f.u.): 4.26
Electronic total energy (eV per formula unit): -15.62
ΔE_f (raw) (eV per atom): 0.316

Lattice parameters (Å, degrees): 4.928 4.928 5.592 90.00 90.00 90.00
Space group P4/mmm (No. 123)
Symmetry-distinct sites (fractional):
Rb 0.000 0.000 0.000 (multiplicity 1)
Sn 0.500 0.500 0.000 (multiplicity 1)
Pd 0.000 0.500 0.500 (multiplicity 2)
Cl 0.500 0.500 0.500 (multiplicity 1)